DFT (PBE-GGA) results for a relaxed structure of YTlIBr2.

Geometry as POSCAR:
```
YTlIBr2
1.0
5.6112 0.0000 0.0000
0.0000 5.6112 0.0000
0.0000 0.0000 6.1006
Y Tl I Br
1 1 1 2
Cartesian
0.0000 0.0000 0.0000 Y
2.8056 2.8056 3.0503 Tl
0.0000 0.0000 3.0503 I
0.0000 2.8056 0.0000 Br
2.8056 0.0000 0.0000 Br
```

Properties
The total magnetic moment comes out at 0.0976 μB per atom. For the density of states at the Fermi level, the calculation gives 0.873 states/eV/atom. Its formation energy (no corrections) is -1.084 eV/atom. Its crystal system is tetragonal.